Density functional theory data (PBE) for a relaxed CsDyPaS4 crystal.

abc: 8.6438 8.5956 8.6420
angles: 120.18 90.00 120.19
With the nearest neighbours (Å) after each atom.
Fractional coordinates of all 14 atoms:
S1 0.7291 0.4582 0.2806  2 Pa 2.77, 1 Dy 2.80
S2 0.2722 0.9479 0.7239  1 Pa 2.74, 2 Dy 2.79
S3 0.3244 0.0521 0.2761  1 Pa 2.74, 2 Dy 2.79
S4 0.7278 0.0521 0.2761  1 Pa 2.74, 2 Dy 2.79
S5 0.7291 0.4582 0.6775  2 Pa 2.77, 1 Dy 2.80
S6 0.6756 0.9479 0.7239  1 Pa 2.74, 2 Dy 2.79
S7 0.2709 0.5418 0.3225  2 Pa 2.77, 1 Dy 2.80
S8 0.2709 0.5418 0.7194  2 Pa 2.77, 1 Dy 2.80
Cs1 0.1236 0.2472 0.8736  4 S 3.15-3.16
Cs2 0.8764 0.7528 0.1264  4 S 3.15-3.16
Dy1 0.5000 0.0000 0.5000  6 S 2.79-2.80
Dy2 0.5000 0.0000 0.0000  6 S 2.79-2.80
Pa1 0.5000 0.5000 0.5000  6 S 2.74-2.77
Pa2 0.0000 0.5000 0.5000  6 S 2.74-2.77

Output
Crystal system: orthorhombic
Uncorrected energy (eV for the cell shown): -85.8
Density (g/cm³): 4.8
Space group: No. 74
Formation energy (no corrections) (eV per atom): -1.6318

---

Density functional theory data (PBE) for a relaxed Cs3Dy3PaSe8 crystal.

abc: 8.4504 8.4504 9.8246
angles: 115.49 90.00 120.00
With the nearest neighbours (Å) after each atom.
Fractional coordinates of all 15 atoms:
Dy1 0.5000 0.0000 0.5000  6 Se 2.90
Dy2 0.0000 0.5000 0.5000  6 Se 2.90
Dy3 0.5000 0.5000 0.5000  6 Se 2.90
Se1 0.7279 0.4559 0.6836  3 Dy 2.90
Se2 0.2709 0.0439 0.3172  1 Pa 2.89, 2 Dy 2.90
Se3 0.2269 0.9561 0.6828  1 Pa 2.89, 2 Dy 2.90
Se4 0.7731 0.0439 0.3172  1 Pa 2.89, 2 Dy 2.90
Se5 0.2721 0.5441 0.3164  3 Dy 2.90
Se6 0.2270 0.4539 0.6828  1 Pa 2.89, 2 Dy 2.90
Se7 0.7730 0.5461 0.3172  1 Pa 2.89, 2 Dy 2.90
Se8 0.7291 0.9561 0.6828  1 Pa 2.89, 2 Dy 2.90
Cs1 0.0000 0.0000 0.0000  6 Se 3.64
Cs2 0.5000 0.5000 0.0000  6 Se 3.64
Cs3 0.0000 0.5000 0.0000  6 Se 3.64
Pa1 0.0000 0.0000 0.5000  6 Se 2.89

Output
Crystal system: trigonal
Uncorrected energy (eV for the cell shown): -78.9
Density (g/cm³): 5.5
Space group: No. 166
Formation energy (no corrections) (eV per atom): -1.6789

---

Density functional theory data (PBE) for a relaxed Cs2DyPa2Se6 crystal.

abc: 7.2311 7.2311 8.9846
angles: 97.57 97.57 119.82
With the nearest neighbours (Å) after each atom.
Fractional coordinates of all 11 atoms:
Se1 0.6048 0.9395 0.3155  2 Pa 2.89-2.90, 1 Dy 2.90
Se2 0.2720 0.2720 0.3135  2 Pa 2.89, 1 Dy 2.90
Se3 0.0605 0.3952 0.6845  2 Pa 2.89-2.90, 1 Dy 2.90
Se4 0.3952 0.0605 0.6845  2 Pa 2.89-2.90, 1 Dy 2.90
Se5 0.9395 0.6048 0.3155  2 Pa 2.89-2.90, 1 Dy 2.90
Se6 0.7280 0.7280 0.6865  2 Pa 2.89, 1 Dy 2.90
Pa1 0.6651 0.3349 0.5000  6 Se 2.89-2.90
Pa2 0.3349 0.6651 0.5000  6 Se 2.89-2.90
Cs1 0.8336 0.1664 0.0000  6 Se 3.64-3.65
Cs2 0.1664 0.8336 0.0000  6 Se 3.64-3.65
Dy1 0.0000 0.0000 0.5000  6 Se 2.90

Output
Crystal system: monoclinic
Uncorrected energy (eV for the cell shown): -62.7
Density (g/cm³): 5.8
Space group: No. 12
Formation energy (no corrections) (eV per atom): -1.4980

---

Density functional theory data (PBE) for a relaxed Cs2DyPaSe4 crystal.

abc: 4.2314 7.3838 8.7903
angles: 106.01 90.00 90.00
With the nearest neighbours (Å) after each atom.
Fractional coordinates of all 8 atoms:
Se1 0.0000 0.7314 0.1894  1 Dy 2.92, 2 Pa 2.93
Se2 0.0000 0.2686 0.8106  1 Dy 2.92, 2 Pa 2.93
Se3 0.5000 0.7708 0.8131  2 Dy 2.92, 1 Pa 2.92
Se4 0.5000 0.2292 0.1869  2 Dy 2.92, 1 Pa 2.92
Cs1 0.5000 0.0000 0.5000  6 Se 3.59-3.61
Cs2 0.0000 0.5000 0.5000  6 Se 3.60-3.61
Pa1 0.5000 0.5000 0.0000  6 Se 2.92-2.93
Dy1 0.0000 0.0000 0.0000  6 Se 2.92

Output
Crystal system: monoclinic
Uncorrected energy (eV for the cell shown): -41.6
Density (g/cm³): 6.1
Space group: No. 10
Formation energy (no corrections) (eV per atom): -1.4875